Record 1
Here is an optimized crystal structure of TbPuAlAg from the Alexandria database. Energies are from PBE.

Values from the calculation:
* energy of formation from the pure elements: -44 kJ/mol of formula units
* SG: No. 216
* energy: -6.503 eV/atom
* spin magnetization: 5.86 μB per cell

Cell: 5.169 5.169 5.169 Å, 60.00 60.00 60.00°
Each line ends with the local moment (μB).
Positions (direct):
Tb (0.750, 0.750, 0.750)  0.13
Al (0.500, 0.500, 0.500)  -0.02
Ag (0.000, 0.000, 0.000)  0.04
Pu (0.250, 0.250, 0.250)  5.36

---

Record 2
Here is an optimized crystal structure of NdIn2IO8 from the Alexandria database. Energies are from PBE.

Values from the calculation:
* SG: No. 10
* formation energy from raw total energies: -16.65 eV per formula unit
* energy: -5.676 eV/atom
* spin magnetization: 0.00 μB per cell

Cell: 4.952 4.952 6.870 Å, 90.00 90.00 89.65°
Positions (direct):
Nd (0.000, 0.000, 0.500)
In (0.500, 0.500, 0.751)
In (0.500, 0.500, 0.249)
I (0.000, 0.000, 0.000)
O (0.183, 0.813, 0.203)
O (0.719, 0.723, 0.000)
O (0.817, 0.187, 0.203)
O (0.817, 0.187, 0.797)
O (0.281, 0.277, 0.000)
O (0.183, 0.813, 0.797)
O (0.679, 0.684, 0.500)
O (0.321, 0.316, 0.500)

---

Record 3
Here is an optimized crystal structure of TbPm6Tm from the Alexandria database. Energies are from PBE.

Values from the calculation:
* energy of formation from the pure elements: 13 kJ/mol of formula units
* SG: No. 123
* energy: -4.684 eV/atom
* spin magnetization: 0.00 μB per cell

Cell: 5.116 5.116 10.229 Å, 90.00 90.00 90.00°
Positions (direct):
Tb (0.000, 0.000, 0.000)
Pm (0.500, 0.500, 0.000)
Pm (0.500, 0.500, 0.500)
Pm (0.500, 0.000, 0.251)
Pm (0.500, 0.000, 0.749)
Pm (0.000, 0.500, 0.251)
Pm (0.000, 0.500, 0.749)
Tm (0.000, 0.000, 0.500)